VASP calculation (PBE-GGA) on a relaxed structure of Cr2Cu.

Summary:
- Formation enthalpy at 0 K: 1.09 eV per atom
- Magnetization: 0.000 μB per atom
- Electronic total energy: -0.4919 Ry/atom

Cell and atoms, written as CIF:
```
data_Cr2Cu
_cell_length_a 5.583
_cell_length_b 5.583
_cell_length_c 5.583
_cell_angle_alpha 90.00
_cell_angle_beta 90.00
_cell_angle_gamma 90.00
_symmetry_space_group_name_H-M 'P a -3'
_symmetry_Int_Tables_number 205
_symmetry_space_group_name_Hall '-P 2ac 2ab 3'
loop_
_atom_site_label
_atom_site_type_symbol
_atom_site_fract_x
_atom_site_fract_y
_atom_site_fract_z
_atom_site_occupancy
Cr1 Cr 0.096 0.096 0.096 1
Cu1 Cu 0.000 0.000 0.500 1
```